1.
A relaxed structure of Dy7In2Sn2, computed with PBE.

Cell and atoms, written as POSCAR:
```
Dy7In2Sn2
1.0
6.8238 -0.0024 -0.8513
0.0037 7.6578 0.0031
-1.2748 -0.0027 6.7575
Dy In Sn
7 2 2
Cartesian
6.1856 2.1818 2.5308 Dy
2.1423 5.4684 6.3323 Dy
-0.6329 5.4709 3.3785 Dy
3.4104 2.1844 -0.4231 Dy
0.0000 0.0000 0.0000 Dy
2.7790 5.5919 2.9536 Dy
2.7737 2.0608 2.9556 Dy
4.5766 3.8247 4.8708 In
0.9760 3.8280 1.0384 In
4.4583 7.6552 1.3777 Sn
1.0944 -0.0024 4.5316 Sn
```

## Properties
For the formation energy, the calculation gives -4.9 kcal/mol of atoms. The calculation puts the size of the total moment at 0.0 Bohr magnetons per cell. The calculation puts the density of states at the Fermi level at 11.32 states/eV/cell. As for the space group: Cmmm (65).



2.
A relaxed structure of RbH2Pb, computed with PBE.

Cell and atoms, written as POSCAR:
```
RbH2Pb
1.0
5.7582 0.0000 0.0000
-2.7783 5.1305 0.0000
-2.8681 -1.7429 6.7449
Rb H Pb
2 4 2
Cartesian
0.6957 2.4984 1.6758 Rb
0.7109 2.4831 5.6958 Rb
-2.1339 4.1861 1.7687 H
-2.2199 0.7966 5.6024 H
0.6122 -0.9175 6.6771 H
3.4923 0.8193 0.6950 H
-2.2051 0.7818 3.6567 Pb
0.6357 -0.9329 3.7148 Pb
```

## Properties
The energy above the lowest structure with this stoichiometry is 0.011 eV per atom. The calculation puts the size of the total moment at 0.0 Bohr magnetons per cell. As for the space group: P1 (1).



3.
A relaxed structure of TlPN2F, computed with PBE.

Cell and atoms, written as POSCAR:
```
TlPN2F
1.0
4.4674 0.0000 0.0000
0.0000 4.4674 0.0000
0.0000 0.0000 4.3883
P Tl N F
1 1 2 1
Cartesian
2.2337 2.2337 2.1942 P
0.0000 0.0000 0.0000 Tl
0.0000 2.2337 0.0000 N
2.2337 0.0000 0.0000 N
0.0000 0.0000 2.1942 F
```

## Properties
The energy above the lowest structure with this stoichiometry is 1.424 eV per atom. The calculation puts the size of the total moment at 0.9 Bohr magnetons per cell. The calculation puts the density of states at the Fermi level at 1.64 states/eV/cell. The raw formation energy is 7.925 eV/f.u. As for the space group: P4/mmm (123).



4.
A relaxed structure of La2Nd6In3, computed with PBE.

Cell and atoms, written as POSCAR:
```
La2Nd6In3
1.0
4.6549 0.0000 0.0000
0.0000 4.6549 0.0000
-2.3274 -2.3274 17.6278
La Nd In
2 6 3
Cartesian
0.0000 0.0000 16.1270 La
2.3274 2.3274 1.5009 La
0.0000 2.3274 4.5533 Nd
2.3274 0.0000 4.5533 Nd
2.3274 0.0000 13.0746 Nd
0.0000 2.3274 13.0746 Nd
2.3274 2.3274 7.5539 Nd
0.0000 0.0000 10.0740 Nd
0.0000 0.0000 0.0000 In
2.3274 2.3274 10.7889 In
0.0000 0.0000 6.8389 In
```

## Properties
For the formation energy, the calculation gives -1.5 kcal/mol of atoms. The calculation puts the size of the total moment at 0.0 Bohr magnetons per cell. The calculation puts the density of states at the Fermi level at 15.74 states/eV/cell. As for the space group: I4/mmm (139).



5.
A relaxed structure of Nb2Co3B2, computed with PBE.

Cell and atoms, written as POSCAR:
```
Nb2Co3B2
1.0
3.1778 0.0000 0.0000
-1.5889 4.3033 -0.2138
0.0000 -2.2462 5.7220
Nb Co B
2 3 2
Cartesian
1.5889 2.5858 1.0939 Nb
0.0000 -0.5287 4.4143 Nb
1.5889 0.0000 0.0000 Co
1.5889 0.1179 2.4125 Co
0.0000 1.9392 3.0957 Co
1.5889 1.2782 4.3076 B
0.0000 0.7788 1.2006 B
```

## Properties
For the formation energy, the calculation gives -10.9 kcal/mol of atoms. The calculation puts the size of the total moment at 0.0 Bohr magnetons per cell. The calculation puts the density of states at the Fermi level at 5.36 states/eV/cell. As for the space group: C2/m (12).



6.
A relaxed structure of TbNd6Cd3, computed with PBE.

Cell and atoms, written as POSCAR:
```
TbNd6Cd3
1.0
-4.0158 -3.8498 -4.0654
7.0361 -6.4599 -0.8329
-3.8889 -4.1148 7.7379
Tb Nd Cd
2 12 6
Cartesian
-0.9627 -5.2639 4.6443 Tb
1.2138 -8.0870 -0.6711 Tb
2.1089 -7.9974 4.3297 Nd
-0.4153 -9.8115 2.7021 Nd
-1.0122 -8.7903 6.0624 Nd
1.6519 -11.7180 0.3645 Nd
4.5109 -7.9041 -1.8937 Nd
-3.0419 -7.1222 2.7461 Nd
3.3805 -6.1449 1.3156 Nd
-6.7573 -7.8412 3.3385 Nd
-2.7557 -2.9318 2.2370 Nd
-0.0916 -5.8596 -3.4609 Nd
0.7565 -3.4531 1.3624 Nd
-1.7677 -5.2672 -0.2653 Nd
-4.3852 -4.6436 4.3812 Cd
1.8228 -8.3321 -4.0970 Cd
0.1819 -6.6455 2.0068 Cd
-1.8669 -8.5616 0.0062 Cd
2.5343 -10.7226 -2.5361 Cd
-3.6738 -7.0341 5.9421 Cd
```

## Properties
For the formation energy, the calculation gives -2.1 kcal/mol of atoms. The calculation puts the size of the total moment at 0.0 Bohr magnetons per cell. The calculation puts the density of states at the Fermi level at 23.15 states/eV/cell. As for the space group: Cmc2_1 (36).



7.
A relaxed structure of Ba2PmPd, computed with PBE.

Cell and atoms, written as POSCAR:
```
Ba2PmPd
1.0
-3.1822 1.7654 -1.9211
-1.6063 -1.7538 -3.3582
-8.9474 -6.0053 4.8948
Ba Pd Pm
2 1 1
Cartesian
-6.5436 -4.0404 2.7188 Ba
-7.1922 -1.9534 -3.1033 Ba
-6.8679 -2.9969 -0.1922 Pd
0.0000 0.0000 0.0000 Pm
```

## Properties
For the formation energy, the calculation gives 1.6 kcal/mol of atoms. The calculation puts the size of the total moment at 0.5 Bohr magnetons per cell. The calculation puts the density of states at the Fermi level at 4.53 states/eV/cell. As for the space group: R-3m (166).



8.
A relaxed structure of Ti3Co, computed with PBE.

Cell and atoms, written as POSCAR:
```
Ti3Co
1.0
-0.1025 -1.5734 4.9737
5.1008 -5.1148 1.2277
4.4532 4.0990 4.1289
Ti Co
12 4
Cartesian
3.5629 2.7497 5.1159 Ti
5.9356 -4.5886 2.8373 Ti
4.0393 -5.4493 5.1474 Ti
5.3652 2.1071 7.5591 Ti
4.6316 0.0457 5.5873 Ti
4.8201 -2.6376 4.7422 Ti
6.0811 -2.0006 7.7102 Ti
3.3703 -0.5880 2.6203 Ti
7.6184 -4.2201 8.4415 Ti
6.8809 -4.2880 5.6666 Ti
2.9507 -3.7118 2.9600 Ti
2.1001 -2.1676 0.6927 Ti
4.6422 1.4101 3.2823 Co
4.8092 -3.9989 7.0482 Co
6.7370 -1.1789 5.2463 Co
2.7145 -1.4102 5.0841 Co
```

## Properties
For the formation energy, the calculation gives -4.4 kcal/mol of atoms. The calculation puts the size of the total moment at 1.2 Bohr magnetons per cell. The calculation puts the density of states at the Fermi level at 22.37 states/eV/cell. As for the space group: I-42m (121).